{"formula": "Ni2MoAu", "functional": "GGA-PBE", "state": "relaxed", "lattice_angstrom": [[-4.930, -3.829, 6.318], [-2.478, -4.070, 7.495], [-3.908, -1.762, 7.779]], "species": ["Ni", "Ni", "Au", "Mo"], "fractional_positions": [[0.256, 0.256, 0.256], [0.997, 0.997, 0.997], [0.505, 0.505, 0.505], [0.742, 0.742, 0.742]], "volume_a3_per_atom": 14.11, "formation_energy_ev_per_atom": 0.2156}

---

{"formula": "SnPt4", "functional": "GGA-PBE", "state": "relaxed", "lattice_angstrom": [[-2.369, 3.119, 1.347], [-4.820, -4.000, 0.788], [6.752, 2.903, 5.150]], "species": ["Pt", "Pt", "Pt", "Pt", "Pt", "Pt", "Pt", "Pt", "Sn", "Sn"], "fractional_positions": [[0.000, 0.402, 0.599], [0.500, 0.204, 0.304], [0.000, 0.204, 0.804], [0.000, 0.598, 0.401], [0.000, 0.796, 0.196], [0.500, 0.796, 0.696], [0.500, 0.598, 0.901], [0.500, 0.402, 0.099], [0.000, 0.000, 0.000], [0.500, 0.000, 0.500]], "polymorph_energy_mev_per_atom": 5, "volume_a3_per_atom": 16.58, "formation_energy_ev_per_atom": -0.2315}

---

{"formula": "Pa2SbC2", "functional": "GGA-PBE", "state": "relaxed", "lattice_angstrom": [[6.203, -0.345, -0.160], [-1.626, 5.996, -0.160], [-2.139, -2.641, 5.693]], "species": ["Pa", "Pa", "Pa", "Pa", "Sb", "Sb", "C", "C", "C", "C"], "fractional_positions": [[0.440, 0.560, 0.250], [0.190, 0.810, 0.750], [0.810, 0.190, 0.250], [0.560, 0.440, 0.750], [0.875, 0.125, 0.750], [0.125, 0.875, 0.250], [0.505, 0.755, 0.010], [0.495, 0.245, 0.990], [0.245, 0.495, 0.490], [0.755, 0.505, 0.510]], "volume_a3_per_atom": 20.30, "formation_energy_uncorrected_ev_per_atom": -0.276}

---

{"formula": "CaSm3", "functional": "GGA-PBE", "state": "relaxed", "lattice_angstrom": [[-5.375, -0.730, 2.166], [-4.176, -2.406, -3.299], [-1.953, -5.368, 1.218]], "species": ["Sm", "Sm", "Sm", "Ca"], "fractional_positions": [[0.750, 0.750, 0.750], [0.250, 0.250, 0.250], [0.000, 0.000, 0.000], [0.500, 0.500, 0.500]], "volume_a3_per_atom": 35.22, "formation_energy_ev_per_atom": 0.1463}

---

{"formula": "RbLiTaBi2", "functional": "GGA-PBE", "state": "relaxed", "lattice_angstrom": [[5.328, 0.000, 0.000], [0.000, 5.136, 0.000], [0.000, 0.000, 5.328]], "species": ["Bi", "Bi", "Rb", "Li", "Ta"], "fractional_positions": [[0.000, 0.000, 0.500], [0.500, 0.000, 0.000], [0.500, 0.500, 0.500], [0.000, 0.000, 0.000], [0.000, 0.500, 0.000]], "volume_a3_per_atom": 29.16, "formation_energy_ev_per_atom": 0.8051}

---

{"formula": "CdInNi", "functional": "GGA-PBE", "state": "relaxed", "lattice_angstrom": [[3.013, 0.000, -0.248], [0.000, 4.358, 0.000], [-0.759, 0.000, 8.595]], "species": ["In", "In", "Ni", "Ni", "Cd", "Cd"], "fractional_positions": [[0.929, 0.750, 0.353], [0.071, 0.250, 0.647], [0.561, 0.750, 0.624], [0.439, 0.250, 0.376], [0.797, 0.250, 0.094], [0.203, 0.750, 0.906]], "volume_a3_per_atom": 18.67, "formation_energy_ev_per_atom": -0.0555}

---

{"formula": "LaRu2W", "functional": "GGA-PBE", "state": "relaxed", "lattice_angstrom": [[-1.323, 0.671, 2.758], [-2.716, -1.150, -1.023], [-0.788, -8.013, 1.573]], "species": ["Ru", "Ru", "W", "La"], "fractional_positions": [[0.000, 0.943, 0.057], [0.000, 0.557, 0.443], [0.500, 0.250, 0.250], [0.500, 0.750, 0.750]], "volume_a3_per_atom": 18.54, "formation_energy_ev_per_atom": 0.0081}

---

{"formula": "NaAcP2O6", "functional": "GGA-PBE", "state": "relaxed", "lattice_angstrom": [[5.516, 0.000, 0.000], [2.758, 4.777, 0.000], [2.758, 1.592, 5.942]], "species": ["O", "O", "O", "O", "O", "O", "P", "P", "Ac", "Na"], "fractional_positions": [[0.514, 0.267, 0.245], [0.486, 0.733, 0.755], [0.026, 0.486, 0.755], [0.733, 0.026, 0.755], [0.267, 0.974, 0.245], [0.974, 0.514, 0.245], [0.227, 0.227, 0.320], [0.773, 0.773, 0.680], [0.000, 0.000, 0.000], [0.500, 0.500, 0.500]], "volume_a3_per_atom": 15.65, "formation_energy_uncorrected_ev_per_atom": -2.295}

---

{"formula": "YbO2", "functional": "GGA-PBE", "state": "relaxed", "lattice_angstrom": [[-5.445, 1.029, -0.221], [0.143, -0.433, -5.527], [-1.006, -5.238, 0.384]], "species": ["Yb", "Yb", "Yb", "Yb", "O", "O", "O", "O", "O", "O", "O", "O"], "fractional_positions": [[0.280, 0.780, 0.715], [0.720, 0.220, 0.715], [0.780, 0.720, 0.285], [0.220, 0.280, 0.285], [0.500, 0.000, 0.431], [0.500, 0.500, 0.500], [0.000, 0.000, 0.500], [0.851, 0.351, 0.088], [0.000, 0.500, 0.569], [0.649, 0.851, 0.912], [0.149, 0.649, 0.088], [0.351, 0.149, 0.912]], "volume_a3_per_atom": 13.71, "formation_energy_uncorrected_ev_per_atom": -2.042}

---

{"formula": "Rb3Pm2ZnS6", "functional": "GGA-PBE", "state": "relaxed", "lattice_angstrom": [[7.077, 0.002, -0.003], [-3.535, 6.131, -0.003], [-1.184, -2.050, 7.707]], "species": ["Pm", "Pm", "S", "S", "S", "S", "S", "S", "Zn", "Rb", "Rb", "Rb"], "fractional_positions": [[0.666, 0.334, 0.000], [0.334, 0.666, 0.000], [0.380, 0.064, 0.190], [0.746, 0.746, 0.192], [0.064, 0.380, 0.190], [0.936, 0.620, 0.810], [0.620, 0.936, 0.810], [0.254, 0.254, 0.808], [0.000, 0.000, 0.000], [0.832, 0.168, 0.500], [0.500, 0.500, 0.500], [0.168, 0.832, 0.500]], "volume_a3_per_atom": 27.86, "formation_energy_uncorrected_ev_per_atom": -1.320}

---

{"formula": "ZnAs4Se", "functional": "GGA-PBE", "state": "relaxed", "lattice_angstrom": [[0.000, 3.975, 3.975], [3.975, 0.000, 3.975], [3.975, 3.975, 0.000]], "species": ["Zn", "As", "As", "As", "As", "Se"], "fractional_positions": [[0.000, 0.000, 0.000], [0.382, 0.382, 0.854], [0.382, 0.382, 0.382], [0.382, 0.854, 0.382], [0.854, 0.382, 0.382], [0.750, 0.750, 0.750]], "volume_a3_per_atom": 20.94, "formation_energy_uncorrected_ev_per_atom": 0.484}

---

{"formula": "V2CrHRu", "functional": "GGA-PBE", "state": "relaxed", "lattice_angstrom": [[4.132, 0.000, 0.000], [0.000, 4.132, 0.000], [0.000, 0.000, 3.204]], "species": ["Cr", "Ru", "V", "V", "H"], "fractional_positions": [[0.000, 0.000, 0.500], [0.500, 0.500, 0.500], [0.500, 0.000, 0.000], [0.000, 0.500, 0.000], [0.000, 0.000, 0.000]], "volume_a3_per_atom": 10.94, "e_tot_ev_per_atom": -8.168}

---

{"formula": "CsNiTeN2", "functional": "GGA-PBE", "state": "relaxed", "lattice_angstrom": [[-1.302, 3.289, -2.510], [1.308, -2.169, -3.521], [-4.510, -2.084, -0.391]], "species": ["Cs", "N", "N", "Ni", "Te"], "fractional_positions": [[0.500, 0.500, 0.500], [0.000, 0.500, 0.000], [0.500, 0.000, 0.000], [0.000, 0.000, 0.000], [0.000, 0.000, 0.500]], "polymorph_energy_mev_per_atom": 0, "volume_a3_per_atom": 18.75, "formation_energy_uncorrected_ev_per_atom": 1.491}

---

{"formula": "HWS3", "functional": "GGA-PBE", "state": "relaxed", "lattice_angstrom": [[3.965, 0.000, 0.000], [0.000, 3.965, 0.000], [0.000, 0.000, 3.965]], "species": ["S", "S", "S", "W", "H"], "fractional_positions": [[0.000, 0.000, 0.500], [0.500, 0.000, 0.000], [0.000, 0.500, 0.000], [0.500, 0.500, 0.500], [0.000, 0.000, 0.000]], "polymorph_energy_mev_per_atom": 768, "volume_a3_per_atom": 12.47}

---

{"formula": "PrY2Ho3", "functional": "GGA-PBE", "state": "relaxed", "lattice_angstrom": [[6.953, -1.150, -1.454], [-4.111, 9.350, -0.395], [-2.158, 0.705, 6.820]], "species": ["Ho", "Ho", "Ho", "Ho", "Ho", "Ho", "Pr", "Pr", "Y", "Y", "Y", "Y"], "fractional_positions": [[0.803, 0.665, 0.361], [0.803, 0.664, 0.860], [0.197, 0.335, 0.639], [0.197, 0.336, 0.140], [0.752, 0.001, 0.251], [0.248, 0.999, 0.749], [0.246, 0.998, 0.249], [0.754, 0.002, 0.751], [0.305, 0.665, 0.862], [0.696, 0.337, 0.639], [0.304, 0.663, 0.361], [0.695, 0.335, 0.138]], "polymorph_energy_mev_per_atom": 0, "volume_a3_per_atom": 32.24, "formation_energy_ev_per_atom": -0.0016}

---

{"formula": "Y4ErHg2", "functional": "GGA-PBE", "state": "relaxed", "lattice_angstrom": [[-2.446, -0.121, -4.474], [2.627, -0.625, -4.327], [-0.944, -10.114, -2.118]], "species": ["Hg", "Hg", "Y", "Y", "Y", "Y", "Er"], "fractional_positions": [[0.399, 0.399, 0.802], [0.601, 0.601, 0.198], [0.109, 0.109, 0.673], [0.891, 0.891, 0.327], [0.296, 0.296, 0.113], [0.704, 0.704, 0.887], [0.500, 0.500, 0.500]], "volume_a3_per_atom": 32.03, "formation_energy_ev_per_atom": 0.0084}

---

{"formula": "Nd9Er4Cd11", "functional": "GGA-PBE", "state": "relaxed", "lattice_angstrom": [[3.557, 0.000, 0.000], [0.000, 13.207, -5.403], [0.000, 0.222, 14.267]], "species": ["Er", "Er", "Er", "Er", "Nd", "Nd", "Nd", "Nd", "Nd", "Nd", "Nd", "Nd", "Nd", "Cd", "Cd", "Cd", "Cd", "Cd", "Cd", "Cd", "Cd", "Cd", "Cd", "Cd"], "fractional_positions": [[0.500, 0.442, 0.252], [0.500, 0.558, 0.748], [0.500, 0.748, 0.558], [0.500, 0.252, 0.442], [0.500, 0.630, 0.147], [0.500, 0.853, 0.370], [0.500, 0.044, 0.209], [0.500, 0.147, 0.630], [0.500, 0.500, 0.500], [0.500, 0.209, 0.044], [0.500, 0.791, 0.956], [0.500, 0.370, 0.853], [0.500, 0.956, 0.791], [0.000, 0.164, 0.836], [0.000, 0.636, 0.364], [0.000, 0.364, 0.636], [0.000, 0.735, 0.735], [0.000, 0.058, 0.417], [0.000, 0.942, 0.583], [0.000, 0.000, 0.000], [0.000, 0.836, 0.164], [0.000, 0.583, 0.942], [0.000, 0.265, 0.265], [0.000, 0.417, 0.058]], "volume_a3_per_atom": 28.10, "formation_energy_ev_per_atom": -0.2401}